# 1
Computed, not measured: TiGaTc2H after structural relaxation at the GGA-PBE level of DFT.

Magnetization, μB/f.u.: 0.00
Space group: No. 123
Density of states at the Fermi level, states/eV per cell: 4.37
E, eV for the cell shown: -36.2

Cell: 4.052 4.052 3.729 Å, 90.00 90.00 90.00°
Sites, in units of the cell vectors:
Ti: 0.000 0.000 0.000
Ga: 0.500 0.500 0.000
Tc: 0.000 0.500 0.500
Tc: 0.500 0.000 0.500
H: 0.000 0.000 0.500

---

# 2
Computed, not measured: SrZrAs after structural relaxation at the GGA-PBE level of DFT.

Formation energy from the elements, eV per atom: -0.503
Magnetization, μB/f.u.: 0.00
Space group: No. 156
Density of states at the Fermi level, states/eV per cell: 2.88
E, eV for the cell shown: -16.4

Cell: 3.991 3.991 6.519 Å, 90.00 90.00 120.00°
Sites, in units of the cell vectors:
Sr: 0.000 0.000 0.000
Zr: 0.667 0.333 0.475
As: 0.333 0.667 0.676

---

# 3
Computed, not measured: ScSiAg3 after structural relaxation at the GGA-PBE level of DFT.

Relative energy among the computed polymorphs, kcal/mol of atoms: 21.91
Magnetization, μB/f.u.: 0.00
Space group: No. 221
Formation energy (no corrections), eV per atom: 1.21
Density of states at the Fermi level, states/eV per cell: 5.39
E, eV for the cell shown: -14.3

Cell: 5.104 5.104 5.104 Å, 90.00 90.00 90.00°
Sites, in units of the cell vectors:
Sc: 0.000 0.000 0.000
Si: 0.500 0.500 0.500
Ag: 0.000 0.000 0.500
Ag: 0.000 0.500 0.000
Ag: 0.500 0.000 0.000

---

magnetization of number 1 (TiGaTc2H)? 0.00 μB/f.u.

---

Which formula does entry 2 have? SrZrAs